# 1
CePm2Si2 | GGA-PBE | optimized geometry

```
CePm2Si2
1.0
4.3725 0.0000 0.0000
2.1863 6.0708 0.0994
2.1863 1.0790 9.5430
Ce Si Pm
2 4 4
direct
0.2149 0.9345 0.6358
0.7851 0.0655 0.3642
0.0272 0.8485 0.0970
0.1108 0.3455 0.4328
0.8892 0.6545 0.5672
0.9728 0.1515 0.9030
0.3152 0.2721 0.0974
0.6848 0.7279 0.9026
0.4893 0.3355 0.6858
0.5107 0.6645 0.3142
```

Calculated values
**Relative energy among the computed polymorphs**: 0.000 eV/atom
**Raw formation energy**: -0.529 eV/atom
**Density**: 6.4 Mg/m³
**Density of states at the Fermi level**: 6.687 states/eV/f.u.
**Space group**: No. 12



# 2
Ce3PmSi | GGA-PBE | optimized geometry

```
Ce3PmSi
1.0
-3.5704 2.9047 -2.5947
-3.3907 -4.0373 0.3473
-1.6587 1.9210 4.6342
Ce Si Pm
3 1 1
direct
0.2822 0.2822 0.6460
0.6460 0.2822 0.2822
0.2822 0.6460 0.2822
0.1314 0.1314 0.1314
0.7831 0.7831 0.7831
```

Calculated values
**Raw formation energy**: 0.001 eV/atom
**Density**: 6.7 Mg/m³
**Density of states at the Fermi level**: 12.353 states/eV/f.u.
**Space group**: No. 160



Which of these has the lowest raw formation energy? CePm2Si2



Repeat the first record exactly.
CePm2Si2 | GGA-PBE | optimized geometry

```
CePm2Si2
1.0
4.3725 0.0000 0.0000
2.1863 6.0708 0.0994
2.1863 1.0790 9.5430
Ce Si Pm
2 4 4
direct
0.2149 0.9345 0.6358
0.7851 0.0655 0.3642
0.0272 0.8485 0.0970
0.1108 0.3455 0.4328
0.8892 0.6545 0.5672
0.9728 0.1515 0.9030
0.3152 0.2721 0.0974
0.6848 0.7279 0.9026
0.4893 0.3355 0.6858
0.5107 0.6645 0.3142
```

Calculated values
**Relative energy among the computed polymorphs**: 0.000 eV/atom
**Raw formation energy**: -0.529 eV/atom
**Density**: 6.4 Mg/m³
**Density of states at the Fermi level**: 6.687 states/eV/f.u.
**Space group**: No. 12



Number 1 is which compound? CePm2Si2